Material: La3Pm4Ho5
Method: DFT, PBE
State: optimized geometry

Cell lengths 7.2402, 11.4466, 13.0553 Å; angles 151.29, 56.51, 129.06 degrees
With the nearest neighbours (Å) after each atom.
Positions (direct):
La 0.5816 0.1634 0.3317  5 Ho 3.60-3.65, 6 Pm 3.62-3.66, 1 La 3.62
La 0.0000 0.0000 0.5000  8 Ho 3.61-3.64, 2 Pm 3.62, 2 La 3.62
La 0.4184 0.8366 0.6683  5 Ho 3.60-3.65, 6 Pm 3.62-3.66, 1 La 3.62
Pm 0.9178 0.8381 0.6703  5 Ho 3.59-3.66, 3 Pm 3.61-3.64, 4 La 3.62-3.66
Pm 0.8306 0.6612 0.8310  5 Ho 3.59-3.63, 4 Pm 3.61-3.68, 3 La 3.62-3.66
Pm 0.1694 0.3388 0.1690  5 Ho 3.59-3.63, 4 Pm 3.61-3.68, 3 La 3.62-3.66
Pm 0.0822 0.1619 0.3297  5 Ho 3.59-3.66, 3 Pm 3.61-3.64, 4 La 3.62-3.66
Ho 0.3303 0.6661 0.8353  5 Pm 3.59-3.66, 4 La 3.60-3.65, 3 Ho 3.60-3.65
Ho 0.5000 0.0000 0.5000  4 Pm 3.59-3.63, 4 Ho 3.61-3.63, 4 La 3.61-3.62
Ho 0.7499 0.5024 0.0019  3 Pm 3.59-3.61, 6 Ho 3.60-3.63, 3 La 3.61-3.64
Ho 0.2501 0.4976 0.9981  3 Pm 3.59-3.61, 6 Ho 3.60-3.63, 3 La 3.61-3.64
Ho 0.6697 0.3339 0.1647  5 Pm 3.59-3.66, 4 La 3.60-3.65, 3 Ho 3.60-3.65

E_form = 0.022 eV/atom
total energy = -4.701 eV/atom
calculated density = 7.50 g cm⁻³
symmetry = No. 2
energy above the lowest structure with this stoichiometry = 0.0 meV per atom

***

Material: La2PmHo
Method: DFT, PBE
State: optimized geometry

Cell lengths 3.7015, 3.7015, 10.1682 Å; angles 90.00, 90.00, 90.00 degrees
With the nearest neighbours (Å) after each atom.
Positions (direct):
La 0.0000 0.0000 0.7542  4 Ho 3.62, 4 Pm 3.68, 4 La 3.70
La 0.0000 0.0000 0.2458  4 Ho 3.62, 4 Pm 3.68, 4 La 3.70
Ho 0.5000 0.5000 0.0000  8 La 3.62, 4 Ho 3.70
Pm 0.5000 0.5000 0.5000  8 La 3.68, 4 Pm 3.70

E_form = 0.022 eV/atom
total energy = -4.773 eV/atom
calculated density = 7.01 g cm⁻³
symmetry = No. 123
energy above the lowest structure with this stoichiometry = 10.1 meV per atom

***

Material: LaPm4Ho10
Method: DFT, PBE
State: optimized geometry

Cell lengths 10.7877, 8.8001, 8.8001 Å; angles 67.93, 52.20, 52.20 degrees
With the nearest neighbours (Å) after each atom.
Positions (direct):
La 0.0000 0.0000 0.0000  8 Ho 3.06
Pm 0.5508 0.6628 0.2355  8 Ho 3.46-3.86
Pm 0.7863 0.7645 0.6628  8 Ho 3.46-3.86
Pm 0.2137 0.2355 0.3372  8 Ho 3.46-3.86
Pm 0.4492 0.3372 0.7645  8 Ho 3.46-3.86
Ho 0.2500 0.5000 0.5000  4 Ho 3.16, 4 Pm 3.46
Ho 0.7072 0.3398 0.9066  1 La 3.06, 2 Ho 3.11-3.16
Ho 0.9529 0.0934 0.3398  1 La 3.06, 2 Ho 3.11-3.16
Ho 0.3862 0.9066 0.6602  1 La 3.06, 2 Ho 3.11-3.16
Ho 0.9536 0.6602 0.0934  1 La 3.06, 2 Ho 3.11-3.16
Ho 0.2928 0.6602 0.0934  1 La 3.06, 2 Ho 3.11-3.16
Ho 0.7500 0.5000 0.5000  4 Ho 3.16, 4 Pm 3.46
Ho 0.0464 0.3398 0.9066  1 La 3.06, 2 Ho 3.11-3.16
Ho 0.6138 0.0934 0.3398  1 La 3.06, 2 Ho 3.11-3.16
Ho 0.0471 0.9066 0.6602  1 La 3.06, 2 Ho 3.11-3.16

E_form = 0.454 eV/atom
total energy = -4.194 eV/atom
calculated density = 7.54 g cm⁻³
symmetry = No. 87

***

Material: La5PmHo3
Method: DFT, PBE
State: optimized geometry

Cell lengths 8.7702, 8.7702, 10.3248 Å; angles 115.13, 115.13, 90.00 degrees
With the nearest neighbours (Å) after each atom.
Positions (direct):
La 0.0574 0.5574 0.7195  1 Pm 3.05, 1 Ho 3.23
La 0.6621 0.1621 0.7195  1 Pm 3.05, 1 Ho 3.23
La 0.1621 0.0574 0.7195  1 Pm 3.05, 1 Ho 3.23
La 0.5574 0.6621 0.7195  1 Pm 3.05, 1 Ho 3.23
La 0.9426 0.4426 0.2805  1 Pm 3.05, 1 Ho 3.23
La 0.3379 0.8379 0.2805  1 Pm 3.05, 1 Ho 3.23
La 0.8379 0.9426 0.2805  1 Pm 3.05, 1 Ho 3.23
La 0.4426 0.3379 0.2805  1 Pm 3.05, 1 Ho 3.23
La 0.5000 0.5000 0.0000  4 Ho 3.49
La 0.0000 0.0000 0.0000  4 Ho 3.49
Pm 0.7500 0.2500 0.5000  4 La 3.05
Pm 0.2500 0.7500 0.5000  4 La 3.05
Ho 0.6209 0.1209 0.0000  1 Ho 3.00, 2 La 3.23
Ho 0.3791 0.8791 0.0000  1 Ho 3.00, 2 La 3.23
Ho 0.8791 0.6209 0.0000  1 Ho 3.00, 2 La 3.23
Ho 0.1209 0.3791 0.0000  1 Ho 3.00, 2 La 3.23
Ho 0.2500 0.2500 0.5000  8 La 3.65
Ho 0.7500 0.7500 0.5000  8 La 3.65

E_form = 0.277 eV/atom
total energy = -4.515 eV/atom
calculated density = 6.98 g cm⁻³
symmetry = No. 140
energy above the lowest structure with this stoichiometry = 34.2 meV per atom

***

Material: LaPm6Ho6
Method: DFT, PBE
State: optimized geometry

Cell lengths 6.7261, 6.7256, 11.4653 Å; angles 90.00, 90.00, 119.99 degrees
With the nearest neighbours (Å) after each atom.
Positions (direct):
La 0.0000 0.0000 0.0000  8 Pm 3.88-4.01
Pm 0.0000 0.0000 0.6499  1 Pm 3.44, 6 Ho 3.56
Pm 0.0000 0.0000 0.3501  1 Pm 3.44, 6 Ho 3.56
Pm 0.3334 0.6666 0.0000  6 Ho 3.45
Pm 0.6666 0.3334 0.0000  6 Ho 3.45
Pm 0.3332 0.6668 0.5000  6 Ho 3.48, 3 Pm 3.88-3.89
Pm 0.6668 0.3332 0.5000  6 Ho 3.48, 3 Pm 3.88-3.89
Ho 0.0000 0.5000 0.7518  4 Ho 3.36, 6 Pm 3.45-3.56
Ho 0.5000 0.0000 0.7518  4 Ho 3.36, 6 Pm 3.45-3.56
Ho 0.5000 0.5000 0.7517  4 Ho 3.36, 6 Pm 3.45-3.56
Ho 0.5000 0.0000 0.2482  4 Ho 3.36, 6 Pm 3.45-3.56
Ho 0.0000 0.5000 0.2482  4 Ho 3.36, 6 Pm 3.45-3.56
Ho 0.5000 0.5000 0.2483  4 Ho 3.36, 6 Pm 3.45-3.56

E_form = 0.249 eV/atom
total energy = -4.435 eV/atom
calculated density = 7.39 g cm⁻³
symmetry = No. 191

***

Material: La4Pm7Ho
Method: DFT, PBE
State: optimized geometry

Cell lengths 7.3582, 9.7500, 9.2079 Å; angles 81.25, 90.11, 41.11 degrees
With the nearest neighbours (Å) after each atom.
Positions (direct):
La 0.5287 0.7189 0.3301  8 Pm 3.64-3.74, 1 Ho 3.64, 3 La 3.69-3.72
La 0.4713 0.2811 0.6699  8 Pm 3.64-3.74, 1 Ho 3.64, 3 La 3.69-3.72
La 0.7222 0.7784 0.6683  8 Pm 3.66-3.75, 4 La 3.68-3.72
La 0.2778 0.2216 0.3317  8 Pm 3.66-3.75, 4 La 3.68-3.72
Pm 0.7489 0.4989 0.9994  7 Pm 3.61-3.71, 3 La 3.64-3.66, 2 Ho 3.68-3.70
Pm 0.2511 0.5011 0.0006  7 Pm 3.61-3.71, 3 La 3.64-3.66, 2 Ho 3.68-3.70
Pm 0.9691 0.2775 0.6737  1 Ho 3.60, 5 Pm 3.61-3.75, 6 La 3.64-3.75
Pm 0.0309 0.7225 0.3263  1 Ho 3.60, 5 Pm 3.61-3.75, 6 La 3.64-3.75
Pm 0.2180 0.7820 0.6711  1 Ho 3.62, 6 Pm 3.63-3.75, 5 La 3.67-3.74
Pm 0.5000 0.0000 0.0000  6 Pm 3.63-3.71, 4 La 3.66, 2 Ho 3.68
Pm 0.7820 0.2180 0.3289  1 Ho 3.62, 6 Pm 3.63-3.75, 5 La 3.67-3.74
Ho 0.0000 0.0000 0.0000  10 Pm 3.60-3.70, 2 La 3.64

E_form = 0.022 eV/atom
total energy = -4.774 eV/atom
calculated density = 6.82 g cm⁻³
symmetry = No. 2
energy above the lowest structure with this stoichiometry = 0.0 meV per atom

***

Number 6 is which compound? La4Pm7Ho

***

The highest total energy belongs to which entry? LaPm4Ho10

***

What is the formula in the sixth record? La4Pm7Ho

***

Look up the E_form of the first one. 0.022 eV/atom